The following is a DFT calculation (PBE-GGA) of an optimized crystal structure of Sm8Dy2Ho.

a = 6.6941 Å, b = 10.2907 Å, c = 10.2907 Å
α = 38.27°, β = 59.63°, γ = 59.63°
Closest atoms and distances in Å follow each position.
Atoms (fractional coordinates):
Sm 0.2289 0.3495 0.8255  5 Sm 3.21-3.54, 1 Ho 3.34, 1 Dy 3.46
Sm 0.7711 0.1745 0.6505  5 Sm 3.21-3.54, 1 Ho 3.34, 1 Dy 3.46
Sm 0.1726 0.7556 0.7556  5 Sm 3.30-3.48, 4 Dy 3.37-3.64
Sm 0.8274 0.2444 0.2444  5 Sm 3.30-3.48, 4 Dy 3.37-3.64
Sm 0.2289 0.8255 0.3495  5 Sm 3.21-3.54, 1 Ho 3.34, 1 Dy 3.46
Sm 0.7711 0.6505 0.1745  5 Sm 3.21-3.54, 1 Ho 3.34, 1 Dy 3.46
Sm 0.7270 0.5919 0.5919  8 Sm 3.36-3.74, 1 Dy 3.68
Sm 0.2730 0.4081 0.4081  8 Sm 3.36-3.74, 1 Dy 3.68
Dy 0.5922 0.8017 0.8017  7 Sm 3.37-3.68, 1 Ho 3.77
Dy 0.4078 0.1983 0.1983  7 Sm 3.37-3.68, 1 Ho 3.77
Ho 0.0000 0.0000 0.0000  4 Sm 3.34

Values from the calculation:
As for the crystal system: monoclinic. As for the formation energy: 0.170 eV per atom. The calculation puts the electronic total energy at -4.52 eV/atom.